1.
The following is a GGA-PBE calculation of crystalline HfAgF2 at its relaxed geometry, from Alexandria via LeMat-Bulk.

Unit cell a=4.3101 b=4.3101 c=4.3101 alpha=60.00 beta=60.00 gamma=60.00
Atoms (fractional coordinates):
Hf 0.0000 0.0000 0.0000
Ag 0.5000 0.5000 0.5000
F 0.2500 0.2500 0.2500
F 0.7500 0.7500 0.7500

Properties
- DOS at the Fermi energy: 2.58 states/eV per cell
- Final energy: -5.16 eV/atom
- ΔE_f (raw): -1.0224 eV/atom
- Polymorph energy (0 for the lowest one): 0.819 eV per atom

---

2.
The following is a GGA-PBE calculation of crystalline Pr3Bi2N2 at its relaxed geometry, from Alexandria via LeMat-Bulk.

Unit cell a=7.1291 b=7.1291 c=7.9381 alpha=113.33 beta=113.33 gamma=31.66
Atoms (fractional coordinates):
Pr 0.0000 0.0000 0.0000
Pr 0.2134 0.2134 0.7948
Pr 0.7866 0.7866 0.2052
Bi 0.4303 0.4303 0.6073
Bi 0.5697 0.5697 0.3927
N 0.1858 0.1858 0.0691
N 0.8142 0.8142 0.9309

Properties
- DOS at the Fermi energy: 1.53 states/eV per cell
- Final energy: -6.47 eV/atom
- ΔE_f (raw): -0.9316 eV/atom

---

3.
The following is a GGA-PBE calculation of crystalline BiPdRh3 at its relaxed geometry, from Alexandria via LeMat-Bulk.

Unit cell a=4.7763 b=4.7763 c=4.7763 alpha=90.00 beta=90.00 gamma=90.00
Atoms (fractional coordinates):
Bi 0.0000 0.0000 0.0000
Pd 0.5000 0.5000 0.5000
Rh 0.0000 0.5000 0.5000
Rh 0.5000 0.0000 0.5000
Rh 0.5000 0.5000 0.0000

Properties
- DOS at the Fermi energy: 11.09 states/eV per cell
- Energy relative to the elements: 5.96 eV per formula unit
- Final energy: -5.03 eV/atom
- Polymorph energy (0 for the lowest one): 0.000 eV per atom

---

4.
The following is a GGA-PBE calculation of crystalline InTeO2 at its relaxed geometry, from Alexandria via LeMat-Bulk.

Unit cell a=6.9590 b=6.9590 c=6.9590 alpha=28.01 beta=28.01 gamma=28.01
Atoms (fractional coordinates):
In 0.0000 0.0000 0.0000
Te 0.5000 0.5000 0.5000
O 0.3881 0.3881 0.3881
O 0.6119 0.6119 0.6119

Properties
- DOS at the Fermi energy: 1.14 states/eV per cell
- Final energy: -4.99 eV/atom
- ΔE_f (raw): -1.0414 eV/atom
- Polymorph energy (0 for the lowest one): 0.000 eV per atom